w:
## Tl4AuSe (GGA-PBE)

Data for a geometry-optimized Tl4AuSe structure.

```
data_Tl4AuSe
_chemical_formula_sum 'Tl16 Au4 Se4'
_cell_length_a 8.997
_cell_length_b 8.997
_cell_length_c 8.997
_cell_angle_alpha 90.00
_cell_angle_beta 90.00
_cell_angle_gamma 90.00
_symmetry_space_group_name_H-M 'F -4 3 m'
_symmetry_Int_Tables_number 216
_symmetry_space_group_name_Hall 'F -4 2 3'
loop_
_atom_site_label
_atom_site_type_symbol
_atom_site_fract_x
_atom_site_fract_y
_atom_site_fract_z
Tl1 Tl 0.125 0.125 0.125
Au1 Au 0.250 0.250 0.750
Se1 Se 0.000 0.000 0.500
```

## Properties
DOS(E_F)	0.57	states/eV/atom



x:
## Tl4AuSe (GGA-PBE)

Data for a geometry-optimized Tl4AuSe structure.

```
data_Tl4AuSe
_chemical_formula_sum 'Tl8 Au2 Se2'
_cell_length_a 6.432
_cell_length_b 4.639
_cell_length_c 12.464
_cell_angle_alpha 90.00
_cell_angle_beta 99.95
_cell_angle_gamma 90.00
_symmetry_space_group_name_H-M 'C 1 2/m 1'
_symmetry_Int_Tables_number 12
_symmetry_space_group_name_Hall '-C 2y'
loop_
_atom_site_label
_atom_site_type_symbol
_atom_site_fract_x
_atom_site_fract_y
_atom_site_fract_z
Tl1 Tl 0.171 0.000 0.140
Tl2 Tl 0.178 0.000 0.646
Au1 Au 0.000 0.500 0.000
Se1 Se 0.000 0.500 0.500
```

## Properties
DOS(E_F)	0.22	states/eV/atom



Energies in meV/atom, measured from the most stable structure: w 386; x 0.



w:
## Tl2Au2Se (GGA-PBE)

Data for a geometry-optimized Tl2Au2Se structure.

```
data_Tl2Au2Se
_chemical_formula_sum 'Tl4 Au4 Se2'
_cell_length_a 7.354
_cell_length_b 7.354
_cell_length_c 4.567
_cell_angle_alpha 90.00
_cell_angle_beta 90.00
_cell_angle_gamma 90.00
_symmetry_space_group_name_H-M 'P 4/m b m'
_symmetry_Int_Tables_number 127
_symmetry_space_group_name_Hall '-P 4 2ab'
loop_
_atom_site_label
_atom_site_type_symbol
_atom_site_fract_x
_atom_site_fract_y
_atom_site_fract_z
Tl1 Tl 0.172 0.328 0.000
Au1 Au 0.136 0.636 0.500
Se1 Se 0.000 0.000 0.500
```

## Properties
DOS(E_F)	0.23	states/eV/atom



x:
## Tl2Au2Se (GGA-PBE)

Data for a geometry-optimized Tl2Au2Se structure.

```
data_Tl2Au2Se
_chemical_formula_sum 'Tl4 Au4 Se2'
_cell_length_a 3.873
_cell_length_b 3.873
_cell_length_c 17.256
_cell_angle_alpha 90.00
_cell_angle_beta 90.00
_cell_angle_gamma 90.00
_symmetry_space_group_name_H-M 'I 4/m m m'
_symmetry_Int_Tables_number 139
_symmetry_space_group_name_Hall '-I 4 2'
loop_
_atom_site_label
_atom_site_type_symbol
_atom_site_fract_x
_atom_site_fract_y
_atom_site_fract_z
Tl1 Tl 0.000 0.000 0.097
Au1 Au 0.000 0.500 0.250
Se1 Se 0.000 0.000 0.500
```

## Properties
DOS(E_F)	0.65	states/eV/atom



y:
## Tl2Au2Se (GGA-PBE)

Data for a geometry-optimized Tl2Au2Se structure.

```
data_Tl2Au2Se
_chemical_formula_sum 'Tl4 Au4 Se2'
_cell_length_a 8.998
_cell_length_b 8.998
_cell_length_c 3.025
_cell_angle_alpha 90.00
_cell_angle_beta 90.00
_cell_angle_gamma 90.00
_symmetry_space_group_name_H-M 'P 4/m b m'
_symmetry_Int_Tables_number 127
_symmetry_space_group_name_Hall '-P 4 2ab'
loop_
_atom_site_label
_atom_site_type_symbol
_atom_site_fract_x
_atom_site_fract_y
_atom_site_fract_z
Tl1 Tl 0.195 0.305 0.000
Au1 Au 0.107 0.607 0.500
Se1 Se 0.000 0.000 0.000
```

## Properties
DOS(E_F)	0.37	states/eV/atom



Energies in meV/atom, measured from the most stable structure: w 23; x 0; y 208.